# 1
{"formula": "LiMg2Cl", "functional": "PBE", "state": "relaxed", "lattice": [[3.2544, 0.0000, 0.0000], [0.0000, 3.2544, 0.0000], [0.0000, 0.0000, 8.1976]], "species": ["Cl", "Li", "Mg", "Mg"], "frac_coords": [[0.5000, 0.5000, 0.2500], [0.5000, 0.5000, 0.7500], [0.0000, 0.0000, 0.0009], [0.0000, 0.0000, 0.4991]], "dos_ef_per_ev_fu": 1.075, "final_energy_ev_per_atom": -2.1469, "polymorph_energy_mev_per_atom": 216, "formation_energy_uncorrected_ev_per_atom": -0.409, "magmom_total_mub_per_atom": 0.00}

***

# 2
{"formula": "Li6MgCl8", "functional": "PBE", "state": "relaxed", "lattice": [[-1.3390, 6.6898, 2.6613], [-6.8210, 2.6644, -0.0540], [-3.6794, 0.7717, 6.2845]], "species": ["Li", "Li", "Li", "Li", "Li", "Li", "Mg", "Cl", "Cl", "Cl", "Cl", "Cl", "Cl", "Cl", "Cl"], "frac_coords": [[0.0000, 0.5000, 0.5000], [0.5000, 0.0000, 0.0000], [0.5000, 0.5000, 0.0000], [0.0000, 0.0000, 0.5000], [0.0000, 0.5000, 0.0000], [0.5000, 0.0000, 0.5000], [0.0000, 0.0000, 0.0000], [0.7500, 0.7500, 0.7500], [0.2500, 0.2500, 0.2500], [0.7583, 0.2417, 0.2417], [0.2417, 0.7583, 0.7583], [0.2417, 0.2417, 0.7583], [0.7583, 0.7583, 0.2417], [0.7583, 0.2417, 0.7583], [0.2417, 0.7583, 0.2417]], "dos_ef_per_ev_fu": 0.000, "final_energy_ev_per_atom": -3.6756, "formation_energy_uncorrected_ev_per_atom": -1.819, "magmom_total_mub_per_atom": 0.00}

***

# 3
{"formula": "Li2MgCl", "functional": "PBE", "state": "relaxed", "lattice": [[5.1533, 0.0000, 0.0000], [2.5766, 4.4629, 0.0000], [2.5766, 1.4876, 4.2076]], "species": ["Cl", "Li", "Li", "Mg"], "frac_coords": [[0.5000, 0.5000, 0.5000], [0.0000, 0.0000, 0.0000], [0.2500, 0.2500, 0.2500], [0.7500, 0.7500, 0.7500]], "dos_ef_per_ev_fu": 2.288, "final_energy_ev_per_atom": -1.9948, "polymorph_energy_mev_per_atom": 625, "formation_energy_uncorrected_ev_per_atom": -0.178, "magmom_total_mub_per_atom": 0.00}

***

# 4
{"formula": "Li2MgCl4", "functional": "PBE", "state": "relaxed", "lattice": [[-4.2966, -4.3944, 4.2044], [4.0665, -5.9256, -1.9493], [3.2046, 5.9997, 3.0303]], "species": ["Li", "Li", "Li", "Li", "Mg", "Mg", "Cl", "Cl", "Cl", "Cl", "Cl", "Cl", "Cl", "Cl"], "frac_coords": [[0.8901, 0.1401, 0.7500], [0.5000, 0.0000, 0.0000], [0.5000, 0.5000, 0.5000], [0.1099, 0.8599, 0.2500], [0.0000, 0.5000, 0.5000], [0.5000, 0.5000, 0.0000], [0.7482, 0.2623, 0.0141], [0.7482, 0.7341, 0.4859], [0.7503, 0.2645, 0.4858], [0.2788, 0.2645, 0.0142], [0.7212, 0.7355, 0.9858], [0.2497, 0.7355, 0.5142], [0.2518, 0.2659, 0.5141], [0.2518, 0.7377, 0.9859]], "dos_ef_per_ev_fu": 0.000, "final_energy_ev_per_atom": -3.6652, "formation_energy_uncorrected_ev_per_atom": -1.835, "magmom_total_mub_per_atom": 0.00}

***

# 5
{"formula": "Li2MgCl", "functional": "PBE", "state": "relaxed", "lattice": [[3.1718, 0.0000, 0.0000], [0.0000, 3.1718, 0.0000], [0.0000, 0.0000, 7.9993]], "species": ["Cl", "Li", "Li", "Mg"], "frac_coords": [[0.5000, 0.5000, 0.7500], [0.0000, 0.0000, 0.9395], [0.0000, 0.0000, 0.5605], [0.5000, 0.5000, 0.2500]], "dos_ef_per_ev_fu": 0.383, "final_energy_ev_per_atom": -2.5259, "polymorph_energy_mev_per_atom": 94, "formation_energy_uncorrected_ev_per_atom": -0.709, "magmom_total_mub_per_atom": 0.00}

***

# 6
{"formula": "LiMg2Cl", "functional": "PBE", "state": "relaxed", "lattice": [[5.2374, 0.0000, 0.0000], [2.6187, 4.5357, 0.0000], [2.6187, 1.5119, 4.2763]], "species": ["Cl", "Li", "Mg", "Mg"], "frac_coords": [[0.5000, 0.5000, 0.5000], [0.7500, 0.7500, 0.7500], [0.0000, 0.0000, 0.0000], [0.2500, 0.2500, 0.2500]], "dos_ef_per_ev_fu": 1.626, "final_energy_ev_per_atom": -1.8979, "polymorph_energy_mev_per_atom": 465, "formation_energy_uncorrected_ev_per_atom": -0.160, "magmom_total_mub_per_atom": 0.00}

***

# 7
{"formula": "LiMg2Cl", "functional": "PBE", "state": "relaxed", "lattice": [[-1.3872, 7.2388, 3.5267], [-8.0367, -1.4662, -0.1517], [-4.5350, 1.6460, 4.3028]], "species": ["Mg", "Mg", "Mg", "Mg", "Li", "Li", "Cl", "Cl"], "frac_coords": [[0.6670, 0.1250, 0.2500], [0.0830, 0.6250, 0.2500], [0.3750, 0.3330, 0.7500], [0.8750, 0.9170, 0.7500], [0.5000, 0.5000, 0.0000], [0.2500, 0.7500, 0.5000], [0.0000, 0.0000, 0.0000], [0.7500, 0.2500, 0.5000]], "dos_ef_per_ev_fu": 0.120, "final_energy_ev_per_atom": -2.1193, "polymorph_energy_mev_per_atom": 243, "formation_energy_uncorrected_ev_per_atom": -0.382, "magmom_total_mub_per_atom": 0.00}

***

# 8
{"formula": "LiMg2Cl", "functional": "PBE", "state": "relaxed", "lattice": [[-0.2798, -1.2617, 3.0609], [-2.4172, -0.7807, -2.1416], [4.5404, -7.1322, -2.5248]], "species": ["Cl", "Li", "Mg", "Mg"], "frac_coords": [[0.5000, 0.5000, 0.2500], [0.5000, 0.5000, 0.7500], [0.0000, 0.0000, 0.0152], [0.0000, 0.0000, 0.4848]], "dos_ef_per_ev_fu": 0.896, "final_energy_ev_per_atom": -2.2078, "polymorph_energy_mev_per_atom": 155, "formation_energy_uncorrected_ev_per_atom": -0.470, "magmom_total_mub_per_atom": 0.00}

***

# 9
{"formula": "LiMgCl", "functional": "PBE", "state": "relaxed", "lattice": [[-1.0851, -3.3371, 0.3096], [1.8874, 0.9856, -2.8021], [11.1959, -3.0402, 6.4716]], "species": ["Mg", "Mg", "Li", "Li", "Cl", "Cl"], "frac_coords": [[0.1680, 0.3360, 0.0000], [0.4919, 0.9838, 0.5000], [0.8348, 0.6696, 0.2849], [0.8348, 0.6696, 0.7151], [0.1685, 0.3371, 0.7954], [0.1685, 0.3371, 0.2046]], "dos_ef_per_ev_fu": 0.582, "final_energy_ev_per_atom": -2.6609, "polymorph_energy_mev_per_atom": 156, "formation_energy_uncorrected_ev_per_atom": -0.876, "magmom_total_mub_per_atom": 0.00}

***

# 10
{"formula": "LiMgCl", "functional": "PBE", "state": "relaxed", "lattice": [[4.8559, 0.0000, 0.0000], [2.4279, 4.2053, 0.0000], [2.4279, 1.4018, 3.9648]], "species": ["Cl", "Li", "Mg"], "frac_coords": [[0.5000, 0.5000, 0.5000], [0.7500, 0.7500, 0.7500], [0.0000, 0.0000, 0.0000]], "final_energy_ev_per_atom": -2.1881, "polymorph_energy_mev_per_atom": 629, "formation_energy_uncorrected_ev_per_atom": -0.403, "magmom_total_mub_per_atom": 0.00}

***

# 11
{"formula": "Li2MgCl", "functional": "PBE", "state": "relaxed", "lattice": [[3.9149, -2.8420, -1.5269], [1.6791, -3.7874, 2.9275], [-0.7564, -4.8163, -1.4019]], "species": ["Mg", "Li", "Li", "Cl"], "frac_coords": [[0.0000, 0.0000, 0.0000], [0.2500, 0.2500, 0.2500], [0.7500, 0.7500, 0.7500], [0.5000, 0.5000, 0.5000]], "dos_ef_per_ev_fu": 1.593, "final_energy_ev_per_atom": -2.1171, "polymorph_energy_mev_per_atom": 503, "formation_energy_uncorrected_ev_per_atom": -0.300, "magmom_total_mub_per_atom": 0.00}

***

# 12
{"formula": "Li4MgCl6", "functional": "PBE", "state": "relaxed", "lattice": [[6.8799, 0.0000, 2.0774], [3.0952, 5.8349, 2.1806], [-0.1773, 0.2607, 13.0183]], "species": ["Li", "Li", "Li", "Li", "Li", "Li", "Li", "Li", "Mg", "Mg", "Cl", "Cl", "Cl", "Cl", "Cl", "Cl", "Cl", "Cl", "Cl", "Cl", "Cl", "Cl"], "frac_coords": [[0.2591, 0.9970, 0.6950], [0.0489, 0.4970, 0.1950], [0.7933, 0.2228, 0.4626], [0.5214, 0.7228, 0.9626], [0.8471, 0.7539, 0.6557], [0.7433, 0.2539, 0.1557], [0.7348, 0.2254, 0.7978], [0.2419, 0.7254, 0.2978], [0.6876, 0.7904, 0.3833], [0.1387, 0.2904, 0.8833], [0.3722, 0.5606, 0.1386], [0.9287, 0.0606, 0.6386], [0.4786, 0.5976, 0.4306], [0.4932, 0.0976, 0.9306], [0.5864, 0.9959, 0.5182], [0.8995, 0.4959, 0.0182], [0.0546, 0.9985, 0.8957], [0.0512, 0.4985, 0.3957], [0.9880, 0.1354, 0.2849], [0.5917, 0.6354, 0.7849], [0.1836, 0.4087, 0.6917], [0.7159, 0.9087, 0.1917]], "dos_ef_per_ev_fu": 0.000, "final_energy_ev_per_atom": -3.6191, "formation_energy_uncorrected_ev_per_atom": -1.771, "magmom_total_mub_per_atom": 0.00}